Entry 1:
The following is a DFT calculation (PBE) of a relaxed structure of Er7Tm2Al2.

The structure in CIF format:
```
data_Er7Tm2Al2
_chemical_formula_sum 'Er14 Tm4 Al4'
_space_group_name_H-M_alt 'C 1 2/m 1'
_space_group_IT_number 12
_cell_length_a 8.687
_cell_length_b 9.312
_cell_length_c 7.947
_cell_angle_alpha 90.00
_cell_angle_beta 102.59
_cell_angle_gamma 90.00
loop_
_space_group_symop_operation_xyz
'x,y,z'
'-x,-y,-z'
'-x,y,-z'
'x,-y,z'
'x+1/2,y+1/2,z'
'-x+1/2,-y+1/2,-z'
'-x+1/2,y+1/2,-z'
'x+1/2,-y+1/2,z'
loop_
_atom_site_label
_atom_site_fract_x
_atom_site_fract_y
_atom_site_fract_z
Er1 0.000 0.000 0.000
Er2 0.187 0.296 0.178
Er3 0.187 0.500 0.535
Tm1 0.000 0.178 0.500
Al1 0.107 0.500 0.870
```

Values from the calculation:
The density of states at the Fermi level is 1.10 states/eV/atom. The calculation puts the final energy at -4.386 eV/atom.

=====

Entry 2:
The following is a DFT calculation (PBE) of a relaxed structure of Tb2Er5Ga4.

The structure in CIF format:
```
data_Tb2Er5Ga4
_chemical_formula_sum 'Tb4 Er10 Ga8'
_space_group_name_H-M_alt 'I m m m'
_space_group_IT_number 71
_space_group_name_Hall '-I 2 2'
_cell_length_a 4.619
_cell_length_b 10.699
_cell_length_c 13.407
_cell_angle_alpha 90.00
_cell_angle_beta 90.00
_cell_angle_gamma 90.00
loop_
_atom_site_label
_atom_site_fract_x
_atom_site_fract_y
_atom_site_fract_z
Tb1 0.000 0.000 0.196
Er1 0.000 0.333 0.150
Er2 0.000 0.500 0.500
Ga1 0.000 0.000 0.408
Ga2 0.000 0.143 0.000
```

Values from the calculation:
The density of states at the Fermi level is 1.06 states/eV/atom. The calculation puts the final energy at -4.039 eV/atom.

=====

Entry 3:
The following is a DFT calculation (PBE) of a relaxed structure of CaLu2In.

The structure in CIF format:
```
data_CaLu2In
_chemical_formula_sum 'Ca4 Lu8 In4'
_space_group_name_H-M_alt 'F m -3 m'
_space_group_IT_number 225
_space_group_name_Hall '-F 4 2 3'
_cell_length_a 7.662
_cell_length_b 7.662
_cell_length_c 7.662
_cell_angle_alpha 90.00
_cell_angle_beta 90.00
_cell_angle_gamma 90.00
loop_
_atom_site_label
_atom_site_fract_x
_atom_site_fract_y
_atom_site_fract_z
Ca1 0.000 0.000 0.000
Lu1 0.250 0.250 0.250
In1 0.000 0.000 0.500
```

Values from the calculation:
The density of states at the Fermi level is 1.00 states/eV/atom. The calculation puts the final energy at -3.514 eV/atom. The relative energy among the computed polymorphs comes out at 103.1 meV per atom.

=====

Entry 4:
The following is a DFT calculation (PBE) of a relaxed structure of RbCdHgAu.

The structure in CIF format:
```
data_RbCdHgAu
_chemical_formula_sum 'Rb4 Cd4 Hg4 Au4'
_space_group_name_H-M_alt 'F -4 3 m'
_space_group_IT_number 216
_space_group_name_Hall 'F -4 2 3'
_cell_length_a 7.829
_cell_length_b 7.829
_cell_length_c 7.829
_cell_angle_alpha 90.00
_cell_angle_beta 90.00
_cell_angle_gamma 90.00
loop_
_atom_site_label
_atom_site_fract_x
_atom_site_fract_y
_atom_site_fract_z
Rb1 0.000 0.000 0.000
Cd1 0.000 0.000 0.500
Hg1 0.250 0.250 0.250
Au1 0.250 0.250 0.750
```

Values from the calculation:
The density of states at the Fermi level is 0.24 states/eV/atom. The calculation puts the final energy at -1.434 eV/atom. The relative energy among the computed polymorphs comes out at 140.4 meV per atom.